! Mo2SeBr | the Alexandria database | GGA-PBEsol | relaxed; values from VASP
&SYSTEM
  ibrav = 0, nat = 4, ntyp = 3
/
ATOMIC_SPECIES
Mo 95.94 Mo.upf
Br 79.90 Br.upf
Se 78.96 Se.upf
ATOMIC_POSITIONS crystal
Mo 0.000 0.000 0.000
Br 0.500 0.500 0.500
Se 0.750 0.750 0.750
Mo 0.250 0.250 0.250
CELL_PARAMETERS angstrom
4.571 0.000 0.000
2.285 3.959 0.000
2.285 1.320 3.732
! - V: 16.9 A^3/atom
! - Raw formation energy: 0.925 eV/atom
! - Fermi-level density of states: 1.47 states/eV/atom
! - Energy relative to the lowest polymorph listed for this composition: 0.4744 eV per atom
! - VASP energy: -0.4696 Ry per atom